# 1
Here is an optimized crystal structure of ZnHg2Os from Alexandria. Energies are from PBE.

Structure (POSCAR):
```
ZnHg2Os
1.0
4.834 0.017 0.000
-1.488 4.600 0.000
0.000 0.000 3.212
Hg Zn Os
2 1 1
Cartesian
0.000 0.000 0.000
1.673 2.308 0.000
-0.744 2.300 1.606
2.417 0.008 1.606
```

Values from the calculation:
N(E_F): 2.8 states/eV/cell
DFT total energy: -0.098 hartree per atom

# 2
Here is an optimized crystal structure of ZnHg2Os from Alexandria. Energies are from PBE.

Structure (POSCAR):
```
ZnHg2Os
1.0
6.745 0.004 -0.003
4.460 5.060 0.003
-5.044 -3.767 2.421
Hg Os Zn
2 1 1
Cartesian
11.142 5.036 0.000
3.085 -0.872 1.209
5.506 2.488 0.000
3.236 2.241 1.212
```

Values from the calculation:
N(E_F): 2.1 states/eV/cell
DFT total energy: -0.101 hartree per atom

# 3
Here is an optimized crystal structure of ZnHg2Os from Alexandria. Energies are from PBE.

Structure (POSCAR):
```
ZnHg2Os
1.0
2.895 0.000 0.000
0.000 4.238 0.000
0.000 0.000 5.836
Zn Hg Os
1 2 1
Cartesian
1.448 2.119 4.377
0.000 0.000 2.914
0.000 0.000 0.005
1.448 2.119 1.459
```

Values from the calculation:
N(E_F): 3.1 states/eV/cell
DFT total energy: -0.094 hartree per atom

# 4
Here is an optimized crystal structure of ZnHg2Os from Alexandria. Energies are from PBE.

Structure (POSCAR):
```
ZnHg2Os
1.0
-2.364 0.514 -3.021
-0.077 -2.766 -0.410
-5.690 -2.673 3.998
Zn Os Hg
1 1 2
Cartesian
-5.196 -3.859 0.930
-3.157 -2.653 2.019
-5.528 -2.925 3.828
-2.825 -0.880 -0.418
```

Values from the calculation:
N(E_F): 2.5 states/eV/cell
DFT total energy: -0.100 hartree per atom

E_form: 240.6, 201.6, 272.8, 212.4 (kJ/mol of formula units)
Theoretical density: 15.26, 13.20, 15.23, 14.16 (g cm⁻³)